Model A:
BiBOF2: relaxed, PBE-GGA.

Cell: 4.832 4.832 2.755 Å, 90.00 90.00 90.00°
Positions (direct):
Bi 0.500 0.500 0.500
O 0.000 0.000 0.500
B 0.000 0.000 0.000
F 0.000 0.500 0.000
F 0.500 0.000 0.000

Spin magnetization in μB per atom: 0.04
Calculated density in g/cm³: 7.07

Model B:
BiBOF2: relaxed, PBE-GGA.

Cell: 4.575 4.575 4.428 Å, 90.00 90.00 90.00°
Positions (direct):
B 0.500 0.500 0.500
F 0.500 0.000 0.000
F 0.000 0.500 0.000
Bi 0.000 0.000 0.000
O 0.000 0.000 0.500

Spin magnetization in μB per atom: 0.02
Calculated density in g/cm³: 4.90

It comes down to model A, which is 712 meV/atom more stable than the next structure.

Model A:
FeBi3B: relaxed, PBE-GGA.

Cell: 5.080 5.080 5.080 Å, 90.00 90.00 90.00°
Positions (direct):
B 0.500 0.500 0.500
Fe 0.000 0.000 0.000
Bi 0.000 0.000 0.500
Bi 0.500 0.000 0.000
Bi 0.000 0.500 0.000

Spin magnetization in μB per atom: 0.24
Calculated density in g/cm³: 8.79

Model B:
FeBi3B: relaxed, PBE-GGA.

Cell: 5.001 5.001 5.001 Å, 90.00 90.00 90.00°
Positions (direct):
Bi 0.000 0.000 0.500
B 0.000 0.000 0.000
Bi 0.500 0.000 0.000
Bi 0.000 0.500 0.000
Fe 0.500 0.500 0.500

Spin magnetization in μB per atom: 0.56
Calculated density in g/cm³: 9.21

It comes down to model B, which is 106 meV/atom more stable than the next structure.

Model A:
Ga3BiB: relaxed, PBE-GGA.

Cell: 4.556 4.556 4.556 Å, 90.00 90.00 90.00°
Positions (direct):
Ga 0.500 0.000 0.000
Ga 0.000 0.000 0.500
Ga 0.000 0.500 0.000
Bi 0.500 0.500 0.500
B 0.000 0.000 0.000

Spin magnetization in μB per atom: 0.00
Calculated density in g/cm³: 7.53

Model B:
Ga3BiB: relaxed, PBE-GGA.

Cell: 5.652 5.652 5.652 Å, 90.00 90.00 90.00°
Positions (direct):
Bi 0.000 0.000 0.000
Ga 0.000 0.500 0.000
B 0.500 0.500 0.500
Ga 0.500 0.000 0.000
Ga 0.000 0.000 0.500

Spin magnetization in μB per atom: 0.00
Calculated density in g/cm³: 3.95

It comes down to model A, which is 1248 meV/atom more stable than the next structure.

Model A:
GaBiB3: relaxed, PBE-GGA.

Cell: 4.275 4.275 4.275 Å, 90.00 90.00 90.00°
Positions (direct):
B 0.000 0.500 0.000
B 0.500 0.000 0.000
Bi 0.500 0.500 0.500
B 0.000 0.000 0.500
Ga 0.000 0.000 0.000

Spin magnetization in μB per atom: 0.00
Calculated density in g/cm³: 6.61

Model B:
GaBiB3: relaxed, PBE-GGA.

Cell: 4.764 4.764 4.764 Å, 90.00 90.00 90.00°
Positions (direct):
B 0.000 0.000 0.500
B 0.000 0.500 0.000
B 0.500 0.000 0.000
Ga 0.500 0.500 0.500
Bi 0.000 0.000 0.000

Spin magnetization in μB per atom: 0.00
Calculated density in g/cm³: 4.78

It comes down to model A, which is 694 meV/atom more stable than the next structure.

Model A:
GaBi2B: relaxed, PBE-GGA.

Cell: 5.047 5.047 5.047 Å, 60.00 60.00 60.00°
Positions (direct):
Ga 0.500 0.500 0.500
Bi 0.750 0.750 0.750
B 0.000 0.000 0.000
Bi 0.250 0.250 0.250

Spin magnetization in μB per atom: 0.00
Calculated density in g/cm³: 9.11

Model B:
GaBi2B: relaxed, PBE-GGA.

Cell: 6.049 6.049 7.263 Å, 65.39 65.39 90.00°
Positions (direct):
Bi 0.875 0.827 0.750
Bi 0.173 0.625 0.250
B 0.250 0.750 0.500
Ga 0.000 0.000 0.000
Ga 0.750 0.250 0.500
Bi 0.375 0.423 0.750
Bi 0.577 0.125 0.250
B 0.500 0.500 0.000

Spin magnetization in μB per atom: 0.00
Calculated density in g/cm³: 7.71

It comes down to model B, which is 460 meV/atom more stable than the next structure.

Model A:
Ge3BiB: relaxed, PBE-GGA.

Cell: 4.590 4.590 4.590 Å, 90.00 90.00 90.00°
Positions (direct):
Ge 0.500 0.000 0.000
Ge 0.000 0.000 0.500
B 0.000 0.000 0.000
Ge 0.000 0.500 0.000
Bi 0.500 0.500 0.500

Spin magnetization in μB per atom: 0.00
Calculated density in g/cm³: 7.52

Model B:
Ge3BiB: relaxed, PBE-GGA.

Cell: 5.493 5.493 5.493 Å, 90.00 90.00 90.00°
Positions (direct):
B 0.500 0.500 0.500
Bi 0.000 0.000 0.000
Ge 0.500 0.000 0.000
Ge 0.000 0.000 0.500
Ge 0.000 0.500 0.000

Spin magnetization in μB per atom: 0.00
Calculated density in g/cm³: 4.39

It comes down to model A, which is 1415 meV/atom more stable than the next structure.

Model A:
ZrBiB2H: relaxed, PBE-GGA.

Cell: 4.305 3.663 4.305 Å, 90.00 90.00 90.00°
Positions (direct):
H 0.000 0.000 0.000
Bi 0.500 0.500 0.500
B 0.500 0.000 0.000
Zr 0.000 0.500 0.000
B 0.000 0.000 0.500

Spin magnetization in μB per atom: 0.00
Calculated density in g/cm³: 7.90

Model B:
ZrBiB2H: relaxed, PBE-GGA.

Cell: 4.508 5.743 4.508 Å, 90.00 90.00 90.00°
Positions (direct):
B 0.000 0.000 0.500
B 0.500 0.000 0.000
Zr 0.000 0.000 0.000
Bi 0.000 0.500 0.000
H 0.500 0.500 0.500

Spin magnetization in μB per atom: 0.14
Calculated density in g/cm³: 4.59

It comes down to model A, which is 795 meV/atom more stable than the next structure.